Computed, not measured: a geometry-optimized CsZnTcAs2 structure at the GGA-PBE level of DFT.

Values from the calculation:
The calculation puts the total magnetization at 0.4 μB per formula unit. The value obtained for the calculated formation energy is 0.405 eV/atom.

Cell lengths 4.811, 4.811, 6.706 Å; angles 90.00, 90.00, 90.00 degrees
Positions (direct):
Cs  0.000  0.000  0.000
Zn  0.500  0.500  0.000
Tc  0.000  0.000  0.500
As  0.000  0.500  0.500
As  0.500  0.000  0.500